1.
Entry from Alexandria: a relaxed structure of Hf2ZrMo (PBE-GGA).

Summary:
- Formation energy: 0.323 eV per atom
- Energy: -114.0 eV/cell

Lattice parameters (Å, degrees): 3.154 3.154 30.345 90.00 90.00 120.00
Atoms (fractional coordinates):
Hf 0.000 0.000 0.098
Hf 0.000 0.000 0.902
Hf 0.333 0.667 0.568
Hf 0.333 0.667 0.765
Hf 0.667 0.333 0.235
Hf 0.667 0.333 0.432
Zr 0.000 0.000 0.000
Zr 0.333 0.667 0.667
Zr 0.667 0.333 0.333
Mo 0.000 0.000 0.500
Mo 0.333 0.667 0.167
Mo 0.667 0.333 0.833



2.
Entry from Alexandria: a relaxed structure of LiCuAgHg (PBE-GGA).

Summary:
- Formation energy: -0.112 eV per atom
- Energy: -38.4 eV/cell

Lattice parameters (Å, degrees): 6.382 6.382 6.382 90.00 90.00 90.00
Atoms (fractional coordinates):
Li 0.000 0.000 0.000
Li 0.000 0.500 0.500
Li 0.500 0.000 0.500
Li 0.500 0.500 0.000
Cu 0.000 0.000 0.500
Cu 0.000 0.500 0.000
Cu 0.500 0.000 0.000
Cu 0.500 0.500 0.500
Ag 0.250 0.250 0.750
Ag 0.250 0.750 0.250
Ag 0.750 0.250 0.250
Ag 0.750 0.750 0.750
Hg 0.250 0.250 0.250
Hg 0.250 0.750 0.750
Hg 0.750 0.250 0.750
Hg 0.750 0.750 0.250



> Which value of energy does entry 1 give?

-114.0 eV/cell



> Among the records above, which one has the lowest energy?

Hf2ZrMo



> The lowest energy belongs to which entry?

Hf2ZrMo



> Which value of formation energy does entry 2 give?

-0.112 eV per atom